Here is a relaxed PrPaFeN4 crystal from the Alexandria database. Energies are from GGA-PBE.

Cell: 5.692 5.165 6.896 Å, 90.00 107.58 90.00°
Fractional coordinates of all 14 atoms:
Pr 0.212 0.250 0.432
Pr 0.788 0.750 0.568
Pa 0.262 0.250 0.945
Pa 0.738 0.750 0.055
Fe 0.271 0.750 0.197
Fe 0.729 0.250 0.803
N 0.060 0.750 0.349
N 0.083 0.750 0.937
N 0.500 0.006 0.772
N 0.500 0.494 0.772
N 0.500 0.506 0.228
N 0.500 0.994 0.228
N 0.917 0.250 0.063
N 0.940 0.250 0.651

Results
* crystal system: monoclinic
* ΔE_f (raw): -6.06 eV per formula unit

=====

Here is a relaxed Pa2FePtN5 crystal from the Alexandria database. Energies are from GGA-PBE.

Cell: 6.675 6.675 10.226 Å, 90.00 90.00 151.30°
Fractional coordinates of all 18 atoms:
Pa 0.085 0.915 0.500
Pa 0.158 0.842 0.151
Pa 0.842 0.158 0.651
Pa 0.915 0.085 0.000
Fe 0.228 0.772 0.889
Fe 0.772 0.228 0.389
Pt 0.457 0.543 0.293
Pt 0.543 0.457 0.793
N 0.083 0.917 0.920
N 0.261 0.739 0.521
N 0.302 0.698 0.268
N 0.377 0.623 0.832
N 0.489 0.511 0.603
N 0.511 0.489 0.103
N 0.623 0.377 0.332
N 0.698 0.302 0.768
N 0.739 0.261 0.021
N 0.917 0.083 0.420

Results
* crystal system: orthorhombic
* ΔE_f (raw): -5.48 eV per formula unit

=====

Here is a relaxed PuPa2FeN4 crystal from the Alexandria database. Energies are from GGA-PBE.

Cell: 5.971 5.971 11.391 Å, 90.00 90.00 146.37°
Fractional coordinates of all 16 atoms:
Pu 0.107 0.893 0.750
Pu 0.893 0.107 0.250
Pa 0.368 0.632 0.560
Pa 0.368 0.632 0.940
Pa 0.632 0.368 0.060
Pa 0.632 0.368 0.440
Fe 0.157 0.843 0.250
Fe 0.843 0.157 0.750
N 0.000 0.000 0.000
N 0.000 0.000 0.500
N 0.271 0.729 0.118
N 0.271 0.729 0.382
N 0.450 0.550 0.750
N 0.550 0.450 0.250
N 0.729 0.271 0.618
N 0.729 0.271 0.882

Results
* crystal system: orthorhombic
* ΔE_f (raw): -9.81 eV per formula unit

=====

Here is a relaxed RbPaFeN3 crystal from the Alexandria database. Energies are from GGA-PBE.

Cell: 8.092 3.544 8.281 Å, 90.00 107.02 90.00°
Fractional coordinates of all 12 atoms:
Rb 0.190 0.250 0.217
Rb 0.810 0.750 0.783
Pa 0.342 0.750 0.840
Pa 0.658 0.250 0.160
Fe 0.070 0.250 0.591
Fe 0.930 0.750 0.409
N 0.145 0.750 0.556
N 0.162 0.250 0.827
N 0.473 0.750 0.124
N 0.527 0.250 0.876
N 0.838 0.750 0.173
N 0.855 0.250 0.444

Results
* crystal system: monoclinic
* ΔE_f (raw): -4.64 eV per formula unit

=====

Here is a relaxed Rb4Pa3FeN8 crystal from the Alexandria database. Energies are from GGA-PBE.

Cell: 7.835 7.835 7.835 Å, 52.94 52.94 52.94°
Fractional coordinates of all 16 atoms:
Rb 0.000 0.000 0.000
Rb 0.000 0.500 0.500
Rb 0.500 0.000 0.500
Rb 0.500 0.500 0.000
Pa 0.000 0.000 0.500
Pa 0.000 0.500 0.000
Pa 0.500 0.000 0.000
Fe 0.500 0.500 0.500
N 0.219 0.219 0.219
N 0.233 0.711 0.711
N 0.289 0.289 0.767
N 0.289 0.767 0.289
N 0.711 0.233 0.711
N 0.711 0.711 0.233
N 0.767 0.289 0.289
N 0.781 0.781 0.781

Results
* crystal system: trigonal
* ΔE_f (raw): -10.03 eV per formula unit

=====

Here is a relaxed Rb2PaFe2N4 crystal from the Alexandria database. Energies are from GGA-PBE.

Cell: 6.873 6.873 6.862 Å, 106.55 106.55 29.45°
Fractional coordinates of all 9 atoms:
Rb 0.133 0.133 0.050
Rb 0.867 0.867 0.950
Pa 0.000 0.000 0.500
Fe 0.315 0.315 0.528
Fe 0.685 0.685 0.472
N 0.190 0.190 0.591
N 0.464 0.464 0.680
N 0.536 0.536 0.320
N 0.810 0.810 0.409

Results
* crystal system: monoclinic
* ΔE_f (raw): -4.38 eV per formula unit

=====

Here is a relaxed Pa2FeReN6 crystal from the Alexandria database. Energies are from GGA-PBE.

Cell: 5.260 5.797 9.142 Å, 90.00 124.86 90.00°
Fractional coordinates of all 20 atoms:
Pa 0.226 0.080 0.249
Pa 0.226 0.420 0.749
Pa 0.774 0.580 0.251
Pa 0.774 0.920 0.751
Fe 0.000 0.000 0.500
Fe 0.000 0.500 0.000
Re 0.500 0.000 0.000
Re 0.500 0.500 0.500
N 0.122 0.194 0.945
N 0.122 0.306 0.445
N 0.265 0.692 0.945
N 0.265 0.808 0.445
N 0.353 0.034 0.746
N 0.353 0.466 0.246
N 0.647 0.534 0.754
N 0.647 0.966 0.254
N 0.735 0.192 0.555
N 0.735 0.308 0.055
N 0.878 0.694 0.555
N 0.878 0.806 0.055

Results
* crystal system: monoclinic
* ΔE_f (raw): -8.49 eV per formula unit

=====

Here is a relaxed ScPa2FeN5 crystal from the Alexandria database. Energies are from GGA-PBE.

Cell: 6.711 6.711 10.044 Å, 90.00 90.00 151.58°
Fractional coordinates of all 18 atoms:
Sc 0.200 0.800 0.500
Sc 0.800 0.200 0.000
Pa 0.107 0.893 0.178
Pa 0.144 0.856 0.798
Pa 0.856 0.144 0.298
Pa 0.893 0.107 0.678
Fe 0.477 0.523 0.954
Fe 0.523 0.477 0.454
N 0.045 0.955 0.556
N 0.281 0.719 0.163
N 0.326 0.674 0.859
N 0.369 0.631 0.493
N 0.485 0.515 0.272
N 0.515 0.485 0.772
N 0.631 0.369 0.993
N 0.674 0.326 0.359
N 0.719 0.281 0.663
N 0.955 0.045 0.056

Results
* crystal system: orthorhombic
* ΔE_f (raw): -11.23 eV per formula unit

=====

Here is a relaxed PaFeSiN crystal from the Alexandria database. Energies are from GGA-PBE.

Cell: 3.816 3.816 7.649 Å, 90.00 90.00 90.00°
Fractional coordinates of all 8 atoms:
Pa 0.250 0.250 0.181
Pa 0.750 0.750 0.819
Fe 0.250 0.750 0.500
Fe 0.750 0.250 0.500
Si 0.250 0.250 0.650
Si 0.750 0.750 0.350
N 0.250 0.250 0.887
N 0.750 0.750 0.113

Results
* crystal system: tetragonal
* ΔE_f (raw): -3.88 eV per formula unit

=====

Here is a relaxed SmPaFeN4 crystal from the Alexandria database. Energies are from GGA-PBE.

Cell: 6.648 6.648 6.648 Å, 147.46 147.46 46.69°
Fractional coordinates of all 7 atoms:
Sm 0.000 0.000 0.000
Pa 0.719 0.719 0.000
Fe 0.353 0.353 0.000
N 0.190 0.190 0.000
N 0.350 0.850 0.500
N 0.542 0.542 0.000
N 0.850 0.350 0.500

Results
* crystal system: tetragonal
* ΔE_f (raw): -6.96 eV per formula unit

=====

Here is a relaxed SmPa2FeN4 crystal from the Alexandria database. Energies are from GGA-PBE.

Cell: 6.058 6.058 11.437 Å, 90.00 90.00 147.50°
Fractional coordinates of all 16 atoms:
Sm 0.105 0.895 0.750
Sm 0.895 0.105 0.250
Pa 0.368 0.632 0.561
Pa 0.368 0.632 0.939
Pa 0.632 0.368 0.061
Pa 0.632 0.368 0.439
Fe 0.157 0.843 0.250
Fe 0.843 0.157 0.750
N 0.000 0.000 0.000
N 0.000 0.000 0.500
N 0.272 0.728 0.119
N 0.272 0.728 0.381
N 0.446 0.554 0.750
N 0.554 0.446 0.250
N 0.728 0.272 0.619
N 0.728 0.272 0.881

Results
* crystal system: orthorhombic
* ΔE_f (raw): -10.53 eV per formula unit

=====

Here is a relaxed SmPaFeN3 crystal from the Alexandria database. Energies are from GGA-PBE.

Cell: 7.201 3.391 7.291 Å, 90.00 100.41 90.00°
Fractional coordinates of all 12 atoms:
Sm 0.166 0.250 0.203
Sm 0.834 0.750 0.797
Pa 0.339 0.750 0.818
Pa 0.661 0.250 0.182
Fe 0.094 0.250 0.574
Fe 0.906 0.750 0.426
N 0.127 0.250 0.859
N 0.172 0.750 0.463
N 0.431 0.750 0.137
N 0.569 0.250 0.863
N 0.828 0.250 0.537
N 0.873 0.750 0.141

Results
* crystal system: monoclinic
* ΔE_f (raw): -6.68 eV per formula unit

=====

Here is a relaxed Pa2FeSnN5 crystal from the Alexandria database. Energies are from GGA-PBE.

Cell: 6.843 6.843 10.079 Å, 90.00 90.00 152.02°
Fractional coordinates of all 18 atoms:
Pa 0.094 0.906 0.500
Pa 0.146 0.854 0.127
Pa 0.854 0.146 0.627
Pa 0.906 0.094 0.000
Fe 0.481 0.519 0.271
Fe 0.519 0.481 0.771
Sn 0.203 0.797 0.830
Sn 0.797 0.203 0.330
N 0.047 0.953 0.875
N 0.276 0.724 0.495
N 0.333 0.667 0.194
N 0.369 0.631 0.821
N 0.480 0.520 0.592
N 0.520 0.480 0.092
N 0.631 0.369 0.321
N 0.667 0.333 0.694
N 0.724 0.276 0.995
N 0.953 0.047 0.375

Results
* crystal system: orthorhombic
* ΔE_f (raw): -5.95 eV per formula unit

=====

Here is a relaxed SrPaFeN3 crystal from the Alexandria database. Energies are from GGA-PBE.

Cell: 7.357 3.524 7.648 Å, 90.00 99.76 90.00°
Fractional coordinates of all 12 atoms:
Sr 0.166 0.250 0.197
Sr 0.834 0.750 0.803
Pa 0.345 0.750 0.830
Pa 0.655 0.250 0.170
Fe 0.067 0.250 0.598
Fe 0.933 0.750 0.402
N 0.146 0.250 0.852
N 0.156 0.750 0.551
N 0.440 0.750 0.133
N 0.560 0.250 0.867
N 0.844 0.250 0.449
N 0.854 0.750 0.148

Results
* crystal system: monoclinic
* ΔE_f (raw): -5.93 eV per formula unit

=====

Here is a relaxed SrPaFeN4 crystal from the Alexandria database. Energies are from GGA-PBE.

Cell: 5.708 5.361 7.130 Å, 90.00 107.08 90.00°
Fractional coordinates of all 14 atoms:
Sr 0.204 0.250 0.423
Sr 0.796 0.750 0.577
Pa 0.265 0.250 0.942
Pa 0.735 0.750 0.058
Fe 0.276 0.750 0.189
Fe 0.724 0.250 0.811
N 0.058 0.750 0.327
N 0.076 0.750 0.947
N 0.487 0.505 0.207
N 0.487 0.995 0.207
N 0.513 0.005 0.793
N 0.513 0.495 0.793
N 0.924 0.250 0.053
N 0.942 0.250 0.673

Results
* crystal system: monoclinic
* ΔE_f (raw): -5.20 eV per formula unit

=====

Here is a relaxed SrPa2FeN5 crystal from the Alexandria database. Energies are from GGA-PBE.

Cell: 7.295 7.295 7.295 Å, 126.10 126.10 79.73°
Fractional coordinates of all 18 atoms:
Sr 0.250 0.250 0.000
Sr 0.750 0.750 0.000
Pa 0.183 0.683 0.866
Pa 0.317 0.183 0.500
Pa 0.683 0.817 0.500
Pa 0.817 0.317 0.134
Fe 0.250 0.750 0.500
Fe 0.750 0.250 0.500
N 0.000 0.000 0.000
N 0.004 0.231 0.500
N 0.231 0.731 0.227
N 0.269 0.496 0.500
N 0.496 0.996 0.227
N 0.500 0.500 0.000
N 0.504 0.004 0.773
N 0.731 0.504 0.500
N 0.769 0.269 0.773
N 0.996 0.769 0.500

Results
* crystal system: tetragonal
* ΔE_f (raw): -10.19 eV per formula unit

=====

Here is a relaxed Pa2TaFeN6 crystal from the Alexandria database. Energies are from GGA-PBE.

Cell: 5.269 5.269 4.862 Å, 90.00 90.00 90.00°
Fractional coordinates of all 10 atoms:
Pa 0.000 0.500 0.000
Pa 0.500 0.000 0.000
Ta 0.000 0.000 0.583
Fe 0.500 0.500 0.590
N 0.000 0.000 0.188
N 0.252 0.252 0.739
N 0.252 0.748 0.739
N 0.500 0.500 0.208
N 0.748 0.252 0.739
N 0.748 0.748 0.739

Results
* crystal system: tetragonal
* ΔE_f (raw): -9.02 eV per formula unit

=====

Here is a relaxed TbPa2FeN4 crystal from the Alexandria database. Energies are from GGA-PBE.

Cell: 6.020 6.020 11.427 Å, 90.00 90.00 147.66°
Fractional coordinates of all 16 atoms:
Tb 0.107 0.893 0.750
Tb 0.893 0.107 0.250
Pa 0.368 0.632 0.561
Pa 0.368 0.632 0.939
Pa 0.632 0.368 0.061
Pa 0.632 0.368 0.439
Fe 0.157 0.843 0.250
Fe 0.843 0.157 0.750
N 0.000 0.000 0.000
N 0.000 0.000 0.500
N 0.275 0.725 0.121
N 0.275 0.725 0.379
N 0.450 0.550 0.750
N 0.550 0.450 0.250
N 0.725 0.275 0.621
N 0.725 0.275 0.879

Results
* crystal system: orthorhombic
* ΔE_f (raw): -10.54 eV per formula unit

=====

Here is a relaxed TbPa2FeN5 crystal from the Alexandria database. Energies are from GGA-PBE.

Cell: 6.597 6.597 6.315 Å, 90.00 90.00 90.00°
Fractional coordinates of all 18 atoms:
Tb 0.000 0.500 0.000
Tb 0.500 0.000 0.000
Pa 0.170 0.330 0.500
Pa 0.330 0.830 0.500
Pa 0.670 0.170 0.500
Pa 0.830 0.670 0.500
Fe 0.000 0.000 0.000
Fe 0.500 0.500 0.000
N 0.000 0.000 0.500
N 0.158 0.658 0.272
N 0.158 0.658 0.728
N 0.342 0.158 0.272
N 0.342 0.158 0.728
N 0.500 0.500 0.500
N 0.658 0.842 0.272
N 0.658 0.842 0.728
N 0.842 0.342 0.272
N 0.842 0.342 0.728

Results
* crystal system: tetragonal
* ΔE_f (raw): -5.14 eV per formula unit